(1)
Entry from Alexandria via LeMat-Bulk: an optimized crystal structure of NiAs4Se (PBEsol).

Cell lengths 5.3951, 5.3951, 5.3951 Å; angles 60.00, 60.00, 60.00 degrees
Last column: nearest neighbours and their distance in Å.
Element x y z (fractional)
1 As 0.3756 0.8733 0.3756  6 As 2.69-2.71
2 As 0.8733 0.3756 0.3756  6 As 2.69-2.71
3 As 0.3756 0.3756 0.8733  6 As 2.69-2.71
4 As 0.3756 0.3756 0.3756  6 As 2.69-2.71
5 Se 0.0000 0.0000 0.0000  12 As 3.16, 4 Ni 3.30
6 Ni 0.7500 0.7500 0.7500  12 As 3.16, 4 Se 3.30

Results
D(E_F)	4.59	states/eV per cell
total magnetization	0.00	μB per cell
energy relative to the elements, uncorrected	709	meV/atom

---

(2)
Entry from Alexandria via LeMat-Bulk: an optimized crystal structure of BaTa2W (PBEsol).

Cell lengths 3.2854, 4.3440, 7.8361 Å; angles 106.09, 102.10, 90.00 degrees
Last column: nearest neighbours and their distance in Å.
Element x y z (fractional)
1 Ta 0.8533 0.3533 0.7067  2 W 2.55, 2 Ta 2.76
2 Ta 0.9693 0.9693 0.9385  4 W 2.73, 2 Ta 2.76
3 Ba 0.1918 0.6918 0.3835  2 Ba 3.29, 2 W 3.45, 4 Ta 3.61
4 W 0.4856 0.4856 0.9713  6 Ta 2.55-2.73

Results
D(E_F)	4.12	states/eV per cell
energy of formation	0.93	eV per atom
total magnetization	0.00	μB per cell

---

(3)
Entry from Alexandria via LeMat-Bulk: an optimized crystal structure of NaNiPtBr2 (PBEsol).

Cell lengths 4.6426, 4.6426, 4.8799 Å; angles 90.00, 90.00, 90.00 degrees
Last column: nearest neighbours and their distance in Å.
Element x y z (fractional)
1 Br 0.0000 0.5000 0.0000  2 Ni 2.32
2 Br 0.5000 0.0000 0.0000  2 Ni 2.32
3 Na 0.0000 0.0000 0.5000  2 Ni 2.44
4 Ni 0.0000 0.0000 0.0000  4 Br 2.32, 2 Na 2.44
5 Pt 0.5000 0.5000 0.5000  4 Na 3.28, 8 Br 3.37

Results
D(E_F)	6.56	states/eV per cell
total magnetization	0.00	μB per cell
energy relative to the elements, uncorrected	534	meV/atom

---

(4)
Entry from Alexandria via LeMat-Bulk: an optimized crystal structure of YTlSe2 (PBEsol).

Cell lengths 4.1414, 4.1414, 8.1287 Å; angles 75.24, 75.24, 60.00 degrees
Last column: nearest neighbours and their distance in Å.
Element x y z (fractional)
1 Se 0.7703 0.7703 0.6892  3 Tl 2.75
2 Se 0.9786 0.9786 0.0643  3 Y 2.73
3 Y 0.2557 0.2557 0.2329  3 Se 2.73
4 Tl 0.4955 0.4955 0.5136  3 Se 2.75

Results
total magnetization	0.00	μB per cell
energy relative to the elements, uncorrected	-851	meV/atom

---

(5)
Entry from Alexandria via LeMat-Bulk: an optimized crystal structure of ZrZn2Ag (PBEsol).

Cell lengths 3.0635, 3.0635, 6.9843 Å; angles 90.00, 90.00, 90.00 degrees
Last column: nearest neighbours and their distance in Å.
Element x y z (fractional)
1 Ag 0.5000 0.5000 0.5000  8 Zn 2.69
2 Zr 0.5000 0.5000 0.0000  8 Zn 2.88, 4 Zr 3.06
3 Zn 0.0000 0.0000 0.7293  4 Ag 2.69, 4 Zr 2.88
4 Zn 0.0000 0.0000 0.2707  4 Ag 2.69, 4 Zr 2.88

Results
D(E_F)	2.11	states/eV per cell
energy of formation	-0.19	eV per atom
total magnetization	0.00	μB per cell

---

(6)
Entry from Alexandria via LeMat-Bulk: an optimized crystal structure of YCd2Au (PBEsol).

Cell lengths 4.2358, 4.2358, 4.7925 Å; angles 90.00, 90.00, 90.00 degrees
Last column: nearest neighbours and their distance in Å.
Element x y z (fractional)
1 Cd 0.0000 0.5000 0.0000  4 Cd 3.00, 4 Au 3.20, 4 Y 3.20
2 Cd 0.5000 0.0000 0.0000  4 Cd 3.00, 4 Au 3.20, 4 Y 3.20
3 Y 0.5000 0.5000 0.5000  4 Au 3.00, 8 Cd 3.20
4 Au 0.0000 0.0000 0.5000  4 Y 3.00, 8 Cd 3.20

Results
D(E_F)	2.42	states/eV per cell
energy of formation	-0.41	eV per atom
total magnetization	0.00	μB per cell

---

(7)
Entry from Alexandria via LeMat-Bulk: an optimized crystal structure of NbIrPb3 (PBEsol).

Cell lengths 5.3381, 5.3381, 5.3381 Å; angles 90.00, 90.00, 90.00 degrees
Last column: nearest neighbours and their distance in Å.
Element x y z (fractional)
1 Ir 0.5000 0.5000 0.5000  12 Pb 3.77
2 Nb 0.0000 0.0000 0.0000  6 Pb 2.67
3 Pb 0.0000 0.0000 0.5000  2 Nb 2.67
4 Pb 0.5000 0.0000 0.0000  2 Nb 2.67
5 Pb 0.0000 0.5000 0.0000  2 Nb 2.67

Results
D(E_F)	7.24	states/eV per cell
energy of formation	1.52	eV per atom
total magnetization	2.88	μB per cell

---

(8)
Entry from Alexandria via LeMat-Bulk: an optimized crystal structure of YSc2Ga2 (PBEsol).

Cell lengths 3.2835, 8.0384, 8.0384 Å; angles 90.00, 90.00, 90.00 degrees
Last column: nearest neighbours and their distance in Å.
Element x y z (fractional)
1 Ga 0.0000 0.3392 0.8392  6 Sc 2.77-2.94, 2 Y 3.02
2 Ga 0.0000 0.6608 0.1608  6 Sc 2.77-2.94, 2 Y 3.02
3 Ga 0.0000 0.1608 0.3392  6 Sc 2.77-2.94, 2 Y 3.02
4 Ga 0.0000 0.8392 0.6608  6 Sc 2.77-2.94, 2 Y 3.02
5 Y 0.0000 0.0000 0.0000  4 Ga 3.02, 2 Y 3.28
6 Y 0.0000 0.5000 0.5000  4 Ga 3.02, 2 Y 3.28
7 Sc 0.5000 0.8575 0.3575  6 Ga 2.77-2.94
8 Sc 0.5000 0.6425 0.8575  6 Ga 2.77-2.94
9 Sc 0.5000 0.1425 0.6425  6 Ga 2.77-2.94
10 Sc 0.5000 0.3575 0.1425  6 Ga 2.77-2.94

Results
D(E_F)	5.69	states/eV per cell
energy of formation	-0.53	eV per atom
total magnetization	0.00	μB per cell

---

(9)
Entry from Alexandria via LeMat-Bulk: an optimized crystal structure of FePSO2 (PBEsol).

Cell lengths 3.4864, 3.4864, 4.6832 Å; angles 90.00, 90.00, 90.00 degrees
Last column: nearest neighbours and their distance in Å.
Element x y z (fractional)
1 P 0.0000 0.0000 0.5000  2 S 2.34, 4 Fe 2.47
2 O 0.5000 0.0000 0.0000  2 S 1.74
3 O 0.0000 0.5000 0.0000  2 S 1.74
4 Fe 0.5000 0.5000 0.5000  4 P 2.47
5 S 0.0000 0.0000 0.0000  4 O 1.74

Results
D(E_F)	4.56	states/eV per cell
total magnetization	3.18	μB per cell
energy relative to the elements, uncorrected	202	meV/atom

---

(10)
Entry from Alexandria via LeMat-Bulk: an optimized crystal structure of TiCuNi (PBEsol).

Cell lengths 4.4785, 4.4785, 4.4785 Å; angles 139.68, 139.68, 58.34 degrees
Last column: nearest neighbours and their distance in Å.
Element x y z (fractional)
1 Cu 0.6692 0.6692 0.0000  5 Ti 2.54-2.58, 5 Ni 2.54-2.60
2 Ni 0.3366 0.3366 0.0000  5 Ti 2.51-2.68, 5 Cu 2.54-2.60
3 Ti 0.9942 0.9942 0.0000  5 Ni 2.51-2.68, 5 Cu 2.54-2.58

Results
D(E_F)	1.35	states/eV per cell
energy of formation	-0.32	eV per atom
total magnetization	0.00	μB per cell

---

(11)
Entry from Alexandria via LeMat-Bulk: an optimized crystal structure of Mg3Mo (PBEsol).

Cell lengths 2.8367, 5.3207, 5.3207 Å; angles 114.15, 90.00, 90.00 degrees
Last column: nearest neighbours and their distance in Å.
Element x y z (fractional)
1 Mg 0.5000 0.5000 0.0000  8 Mg 2.84-3.01, 4 Mo 3.01
2 Mg 0.5000 0.0000 0.5000  8 Mg 2.84-3.01, 4 Mo 3.01
3 Mg 0.0000 0.5000 0.5000  10 Mg 2.84-3.01, 2 Mo 2.89
4 Mo 0.0000 0.0000 0.0000  2 Mo 2.84, 10 Mg 2.89-3.01

Results
D(E_F)	2.53	states/eV per cell
energy of formation	0.34	eV per atom
total magnetization	0.00	μB per cell

---

(12)
Entry from Alexandria via LeMat-Bulk: an optimized crystal structure of FeCoS4 (PBEsol).

Cell lengths 5.3423, 5.3511, 5.3509 Å; angles 90.00, 90.00, 90.05 degrees
Last column: nearest neighbours and their distance in Å.
Element x y z (fractional)
1 S 0.1164 0.3780 0.1218  2 Fe 2.21-2.22, 1 S 2.23, 1 Co 2.25
2 S 0.8836 0.6220 0.8782  2 Fe 2.21-2.22, 1 S 2.23, 1 Co 2.25
3 S 0.6232 0.1176 0.1185  1 Fe 2.20, 1 S 2.22, 2 Co 2.24
4 S 0.6232 0.6176 0.3815  1 Fe 2.20, 1 S 2.22, 2 Co 2.24
5 S 0.3768 0.3824 0.6185  1 Fe 2.20, 1 S 2.22, 2 Co 2.24
6 S 0.8836 0.1220 0.6218  2 Fe 2.21-2.22, 1 S 2.23, 1 Co 2.25
7 S 0.1164 0.8780 0.3782  2 Fe 2.21-2.22, 1 S 2.23, 1 Co 2.25
8 S 0.3768 0.8824 0.8815  1 Fe 2.20, 1 S 2.22, 2 Co 2.24
9 Fe 0.0000 0.0000 0.0000  6 S 2.20-2.22
10 Fe 0.0000 0.5000 0.5000  6 S 2.20-2.22
11 Co 0.5000 0.0000 0.5000  6 S 2.24-2.25
12 Co 0.5000 0.5000 0.0000  6 S 2.24-2.25

Results
D(E_F)	6.42	states/eV per cell
total magnetization	1.14	μB per cell
energy relative to the elements, uncorrected	-594	meV/atom

---

(13)
Entry from Alexandria via LeMat-Bulk: an optimized crystal structure of ZnCu (PBEsol).

Cell lengths 2.7368, 2.7368, 6.6431 Å; angles 90.00, 90.00, 90.00 degrees
Last column: nearest neighbours and their distance in Å.
Element x y z (fractional)
1 Zn 0.5000 0.0000 0.6381  4 Cu 2.52, 8 Zn 2.67-2.74
2 Zn 0.0000 0.5000 0.3619  4 Cu 2.52, 8 Zn 2.67-2.74
3 Cu 0.5000 0.0000 0.1181  8 Cu 2.49-2.74, 4 Zn 2.52
4 Cu 0.0000 0.5000 0.8819  8 Cu 2.49-2.74, 4 Zn 2.52

Results
D(E_F)	0.93	states/eV per cell
energy of formation	-0.05	eV per atom
total magnetization	0.00	μB per cell

---

(14)
Entry from Alexandria via LeMat-Bulk: an optimized crystal structure of LiAlCr (PBEsol).

Cell lengths 2.5713, 4.2677, 4.2677 Å; angles 120.00, 90.00, 90.00 degrees
Last column: nearest neighbours and their distance in Å.
Element x y z (fractional)
1 Al 0.0594 0.0000 0.0000  3 Li 2.55, 2 Al 2.57, 3 Cr 2.71
2 Li 0.3173 0.3333 0.6667  3 Al 2.55, 2 Li 2.57, 3 Cr 2.59
3 Cr 0.6233 0.6667 0.3333  2 Cr 2.57, 3 Li 2.59, 6 Al 2.71-2.86

Results
D(E_F)	1.73	states/eV per cell
energy of formation	0.24	eV per atom
total magnetization	2.19	μB per cell

---

(15)
Entry from Alexandria via LeMat-Bulk: an optimized crystal structure of Sc2AgIr (PBEsol).

Cell lengths 3.1883, 4.6782, 4.6782 Å; angles 90.01, 90.00, 90.00 degrees
Last column: nearest neighbours and their distance in Å.
Element x y z (fractional)
1 Sc 0.0000 0.5000 0.0000  4 Ir 2.83, 4 Ag 2.83
2 Sc 0.0000 0.0000 0.5000  4 Ag 2.83, 4 Ir 2.83
3 Ir 0.5000 0.5000 0.5000  8 Sc 2.83
4 Ag 0.5000 0.0000 0.0000  8 Sc 2.83

Results
D(E_F)	2.27	states/eV per cell
energy of formation	-0.64	eV per atom
total magnetization	0.00	μB per cell

---

(16)
Entry from Alexandria via LeMat-Bulk: an optimized crystal structure of KInTe2O6 (PBEsol).

Cell lengths 5.8795, 8.1675, 13.1401 Å; angles 90.00, 90.00, 90.00 degrees
Last column: nearest neighbours and their distance in Å.
Element x y z (fractional)
1 K 0.7500 0.9905 0.3668  8 O 2.72-2.98
2 K 0.7500 0.5095 0.8668  8 O 2.72-2.98
3 K 0.2500 0.0095 0.6332  8 O 2.72-2.98
4 K 0.2500 0.4905 0.1332  8 O 2.72-2.98
5 O 0.2500 0.9549 0.3372  1 Te 1.91
6 O 0.0048 0.1382 0.2006  1 Te 1.89
7 O 0.7500 0.4549 0.1628  1 Te 1.91
8 O 0.0048 0.3618 0.7006  1 Te 1.89
9 O 0.4952 0.3618 0.7006  1 Te 1.89
10 O 0.2500 0.5451 0.8372  1 Te 1.91
11 O 0.4945 0.3131 0.9894  1 Te 1.87
12 O 0.2500 0.0145 0.9925  1 Te 1.90
13 O 0.4952 0.1382 0.2006  1 Te 1.89
14 O 0.5055 0.8131 0.5106  1 Te 1.87
15 O 0.4945 0.1869 0.4894  1 Te 1.87
16 O 0.9945 0.6869 0.0106  1 Te 1.87
17 O 0.2500 0.4855 0.4925  1 Te 1.90
18 O 0.9952 0.8618 0.7994  1 Te 1.89
19 O 0.5055 0.6869 0.0106  1 Te 1.87
20 O 0.5048 0.8618 0.7994  1 Te 1.89
21 O 0.9952 0.6382 0.2994  1 Te 1.89
22 O 0.9945 0.8131 0.5106  1 Te 1.87
23 O 0.7500 0.5145 0.5075  1 Te 1.90
24 O 0.0055 0.1869 0.4894  1 Te 1.87
25 O 0.7500 0.0451 0.6628  1 Te 1.91
26 O 0.7500 0.9855 0.0075  1 Te 1.90
27 O 0.0055 0.3131 0.9894  1 Te 1.87
28 O 0.5048 0.6382 0.2994  1 Te 1.89
29 Te 0.2500 0.2166 0.9203  3 O 1.87-1.90
30 Te 0.7500 0.7166 0.5797  3 O 1.87-1.90
31 Te 0.2500 0.9891 0.1936  3 O 1.89-1.91
32 Te 0.2500 0.5109 0.6936  3 O 1.89-1.91
33 Te 0.7500 0.7834 0.0797  3 O 1.87-1.90
34 Te 0.7500 0.4891 0.3064  3 O 1.89-1.91
35 Te 0.2500 0.2834 0.4203  3 O 1.87-1.90
36 Te 0.7500 0.0109 0.8064  3 O 1.89-1.91
37 In 0.2500 0.7148 0.4103  6 O 2.15-2.18
38 In 0.7500 0.2852 0.5897  6 O 2.15-2.18
39 In 0.2500 0.7852 0.9103  6 O 2.15-2.18
40 In 0.7500 0.2148 0.0897  6 O 2.15-2.18

Results
D(E_F)	0.00	states/eV per cell
total magnetization	0.00	μB per cell
energy relative to the elements, uncorrected	-1355	meV/atom

---

(17)
Entry from Alexandria via LeMat-Bulk: an optimized crystal structure of MoBr (PBEsol).

Cell lengths 3.1666, 4.5983, 5.8690 Å; angles 113.06, 90.00, 90.00 degrees
Last column: nearest neighbours and their distance in Å.
Element x y z (fractional)
1 Br 0.2500 0.8486 0.6971  5 Mo 2.90, 2 Br 3.17
2 Br 0.7500 0.1514 0.3029  5 Mo 2.90, 2 Br 3.17
3 Mo 0.7500 0.4201 0.8402  2 Mo 2.34
4 Mo 0.2500 0.5799 0.1598  2 Mo 2.34

Results
D(E_F)	2.24	states/eV per cell
total magnetization	0.00	μB per cell
energy relative to the elements, uncorrected	453	meV/atom

---

(18)
Entry from Alexandria via LeMat-Bulk: an optimized crystal structure of NiSb2TeO (PBEsol).

Cell lengths 4.8140, 4.8140, 4.9375 Å; angles 90.00, 90.00, 90.00 degrees
Last column: nearest neighbours and their distance in Å.
Element x y z (fractional)
1 Sb 0.5000 0.0000 0.0000  2 Ni 2.41
2 Sb 0.0000 0.5000 0.0000  2 Ni 2.41
3 O 0.5000 0.5000 0.5000  4 Te 3.40, 8 Sb 3.45
4 Ni 0.0000 0.0000 0.0000  4 Sb 2.41, 2 Te 2.47
5 Te 0.0000 0.0000 0.5000  2 Ni 2.47

Results
D(E_F)	3.66	states/eV per cell
total magnetization	1.58	μB per cell
energy relative to the elements, uncorrected	633	meV/atom

---

(19)
Entry from Alexandria via LeMat-Bulk: an optimized crystal structure of Mn2CdIr2 (PBEsol).

Cell lengths 3.9190, 3.9190, 5.9364 Å; angles 109.27, 109.27, 90.00 degrees
Last column: nearest neighbours and their distance in Å.
Element x y z (fractional)
1 Cd 0.0000 0.0000 0.0000  8 Ir 3.02, 8 Mn 3.28
2 Ir 0.3848 0.3848 0.7695  4 Mn 2.42, 1 Ir 2.42
3 Ir 0.6152 0.6152 0.2305  4 Mn 2.42, 1 Ir 2.42
4 Mn 0.2500 0.7500 0.5000  4 Ir 2.42
5 Mn 0.7500 0.2500 0.5000  4 Ir 2.42

Results
D(E_F)	4.24	states/eV per cell
energy of formation	0.30	eV per atom
total magnetization	5.28	μB per cell

---

(20)
Entry from Alexandria via LeMat-Bulk: an optimized crystal structure of La5Sc (PBEsol).

Cell lengths 3.5898, 5.8050, 9.4875 Å; angles 90.00, 100.91, 90.00 degrees
Last column: nearest neighbours and their distance in Å.
Element x y z (fractional)
1 La 0.5502 0.5000 0.1003  2 Sc 3.49, 10 La 3.56-3.75
2 La 0.3367 0.0000 0.6734  8 La 3.48-3.63, 4 Sc 3.55
3 La 0.2266 0.5000 0.4533  2 Sc 3.52, 10 La 3.55-3.75
4 La 0.9966 0.0000 0.9932  10 La 3.48-3.65, 2 Sc 3.52
5 La 0.6671 0.0000 0.3342  12 La 3.59-3.65
6 Sc 0.8894 0.5000 0.7789  10 La 3.49-3.55, 2 Sc 3.59

Results
D(E_F)	10.49	states/eV per cell
energy of formation	0.06	eV per atom
total magnetization	0.00	μB per cell